The following is a DFT calculation (PBE-GGA) of an optimized crystal structure of CuAgAs2Se4.

Summary:
As for the energy relative to the elements, uncorrected: -0.032 eV per atom. For the density, the calculation gives 5.264 g cm⁻³. The size of the total moment comes out at 0.0 μB per formula unit. The total energy is -30.4 eV/cell. The density of states at the Fermi level is 1.87 states/eV per cell.

Cell: 6.3590 6.3590 6.6219 Å, 116.92 116.92 93.27°
Positions (direct):
1 Se 0.1357 0.1357 0.7370
2 Cu 0.5042 0.5042 0.0084
3 Se 0.8560 0.3886 0.2446
4 As 0.7569 0.2569 0.5137
5 As 0.2569 0.7569 0.5137
6 Se 0.3886 0.8560 0.2446
7 Se 0.6013 0.6013 0.7370
8 Ag 0.0008 0.0008 0.0016

The following is a DFT calculation (PBE-GGA) of an optimized crystal structure of Sr2Cu4AgAs3.

Summary:
For the density, the calculation gives 6.576 g cm⁻³. The size of the total moment comes out at 0.0 μB per formula unit. For the energy relative to the elements, the calculation gives -0.465 eV/atom. The total energy is -41.2 eV/cell. The density of states at the Fermi level is 1.39 states/eV per cell.

Cell: 4.3095 4.3095 10.3619 Å, 90.00 90.00 90.00°
Positions (direct):
1 Ag 0.5000 0.5000 0.5000
2 Cu 0.0000 0.0000 0.0000
3 Cu 0.5000 0.0000 0.6363
4 As 0.5000 0.0000 0.8693
5 As 0.0000 0.0000 0.5000
6 Cu 0.5000 0.5000 0.0000
7 Sr 0.0000 0.5000 0.7577
8 Sr 0.5000 0.0000 0.2423
9 Cu 0.0000 0.5000 0.3637
10 As 0.0000 0.5000 0.1307

The following is a DFT calculation (PBE-GGA) of an optimized crystal structure of Sr2Cu3AgAs4.

Summary:
For the density, the calculation gives 6.416 g cm⁻³. The size of the total moment comes out at 0.0 μB per formula unit. For the energy relative to the elements, the calculation gives -0.511 eV/atom. The total energy is -42.2 eV/cell. The density of states at the Fermi level is 4.46 states/eV per cell.

Cell: 4.4127 4.4127 10.2805 Å, 90.00 90.00 90.00°
Positions (direct):
1 As 0.0000 0.0000 0.0000
2 Cu 0.0000 0.0000 0.5000
3 As 0.0000 0.5000 0.3578
4 Cu 0.5000 0.0000 0.8803
5 Sr 0.0000 0.5000 0.7531
6 Sr 0.5000 0.0000 0.2469
7 Ag 0.5000 0.5000 0.5000
8 Cu 0.0000 0.5000 0.1197
9 As 0.5000 0.0000 0.6422
10 As 0.5000 0.5000 0.0000

Repeat the first record exactly.
The following is a DFT calculation (PBE-GGA) of an optimized crystal structure of CuAgAs2Se4.

Summary:
As for the energy relative to the elements, uncorrected: -0.032 eV per atom. For the density, the calculation gives 5.264 g cm⁻³. The size of the total moment comes out at 0.0 μB per formula unit. The total energy is -30.4 eV/cell. The density of states at the Fermi level is 1.87 states/eV per cell.

Cell: 6.3590 6.3590 6.6219 Å, 116.92 116.92 93.27°
Positions (direct):
1 Se 0.1357 0.1357 0.7370
2 Cu 0.5042 0.5042 0.0084
3 Se 0.8560 0.3886 0.2446
4 As 0.7569 0.2569 0.5137
5 As 0.2569 0.7569 0.5137
6 Se 0.3886 0.8560 0.2446
7 Se 0.6013 0.6013 0.7370
8 Ag 0.0008 0.0008 0.0016

Please write out number 2 again, unchanged.
The following is a DFT calculation (PBE-GGA) of an optimized crystal structure of Sr2Cu4AgAs3.

Summary:
For the density, the calculation gives 6.576 g cm⁻³. The size of the total moment comes out at 0.0 μB per formula unit. For the energy relative to the elements, the calculation gives -0.465 eV/atom. The total energy is -41.2 eV/cell. The density of states at the Fermi level is 1.39 states/eV per cell.

Cell: 4.3095 4.3095 10.3619 Å, 90.00 90.00 90.00°
Positions (direct):
1 Ag 0.5000 0.5000 0.5000
2 Cu 0.0000 0.0000 0.0000
3 Cu 0.5000 0.0000 0.6363
4 As 0.5000 0.0000 0.8693
5 As 0.0000 0.0000 0.5000
6 Cu 0.5000 0.5000 0.0000
7 Sr 0.0000 0.5000 0.7577
8 Sr 0.5000 0.0000 0.2423
9 Cu 0.0000 0.5000 0.3637
10 As 0.0000 0.5000 0.1307

Copy entry 1 word for word.
The following is a DFT calculation (PBE-GGA) of an optimized crystal structure of CuAgAs2Se4.

Summary:
As for the energy relative to the elements, uncorrected: -0.032 eV per atom. For the density, the calculation gives 5.264 g cm⁻³. The size of the total moment comes out at 0.0 μB per formula unit. The total energy is -30.4 eV/cell. The density of states at the Fermi level is 1.87 states/eV per cell.

Cell: 6.3590 6.3590 6.6219 Å, 116.92 116.92 93.27°
Positions (direct):
1 Se 0.1357 0.1357 0.7370
2 Cu 0.5042 0.5042 0.0084
3 Se 0.8560 0.3886 0.2446
4 As 0.7569 0.2569 0.5137
5 As 0.2569 0.7569 0.5137
6 Se 0.3886 0.8560 0.2446
7 Se 0.6013 0.6013 0.7370
8 Ag 0.0008 0.0008 0.0016